Computed, not measured: a crystal of Ti3FeBi5O15 relaxed with PBEsol at the meta-GGA SCAN level of DFT.

Space-group type: Cm (8)
Theoretical density: 8.2 Mg/m³
Raw total energy: -25.01 eV per atom
Spin magnetization: 2.7 μB/cell

Lattice parameters (Å, degrees): 3.8556 3.8556 20.4294 95.27 95.27 88.88
Atoms (fractional coordinates):
Ti1 0.0000 0.0000 0.0000
Ti2 0.0968 0.0968 0.2064
Ti3 0.3110 0.3110 0.6046
Fe1 0.1775 0.1775 0.3985
Bi1 0.5113 0.5113 0.8647
Bi2 0.6033 0.6033 0.1003
Bi3 0.6958 0.6958 0.3142
Bi4 0.8187 0.8187 0.5048
Bi5 0.9518 0.9518 0.7394
O1 0.0096 0.0096 0.1110
O2 0.0428 0.5696 0.2067
O3 0.1018 0.1018 0.3030
O4 0.1513 0.6692 0.3946
O5 0.2102 0.2102 0.4922
O6 0.2651 0.7840 0.5863
O7 0.3380 0.3380 0.6922
O8 0.4525 0.9525 0.8021
O9 0.4912 0.9743 0.0190
O10 0.5696 0.0428 0.2067
O11 0.6692 0.1513 0.3946
O12 0.7840 0.2651 0.5863
O13 0.9423 0.9423 0.9125
O14 0.9525 0.4525 0.8021
O15 0.9743 0.4912 0.0190